VASP calculation (PBE+U) on a geometry-optimized VBiSbO6 structure.

a b c (Å): 5.276 5.276 9.964
angles (deg): 90.00 90.00 120.00
Fractional coordinates of all 18 atoms:
V 0.333 0.667 0.250
V 0.667 0.333 0.750
Bi 0.000 0.000 0.000
Bi 0.000 0.000 0.500
Sb 0.333 0.667 0.750
Sb 0.667 0.333 0.250
O 0.005 0.374 0.141
O 0.005 0.631 0.359
O 0.369 0.374 0.359
O 0.369 0.995 0.141
O 0.374 0.005 0.641
O 0.374 0.369 0.859
O 0.626 0.631 0.141
O 0.626 0.995 0.359
O 0.631 0.005 0.859
O 0.631 0.626 0.641
O 0.995 0.369 0.641
O 0.995 0.626 0.859

E (eV for the cell shown): -119.04
Crystal system: trigonal